! KTlCoF4 (PBE with a Hubbard U, optimized geometry); values from VASP
&SYSTEM
  ibrav = 0, nat = 14, ntyp = 4
/
ATOMIC_SPECIES
Co 58.93 Co.upf
F 19.00 F.upf
Tl 204.38 Tl.upf
K 39.10 K.upf
ATOMIC_POSITIONS crystal
Co 0.2844 0.7500 0.2953
Co 0.7156 0.2500 0.7047
F 0.4962 0.7500 0.1727
F 0.5274 0.2500 0.4374
F 0.9337 0.4828 0.7854
F 0.0663 0.9828 0.2146
F 0.0663 0.5172 0.2146
F 0.4726 0.7500 0.5626
F 0.9337 0.0172 0.7854
F 0.5038 0.2500 0.8273
Tl 0.1240 0.2500 0.4729
Tl 0.8760 0.7500 0.5271
K 0.7110 0.7500 0.9450
K 0.2890 0.2500 0.0550
CELL_PARAMETERS angstrom
-4.5869 4.0836 -1.1374
1.1818 -0.4231 -6.2847
-2.3475 -7.4760 0.0618
! size of the total moment: 3.0 μB/f.u.
! space-group type: P2_1/m, No. 11
! ρ: 4.38 Mg/m³
! calculated total energy: -4.47 eV per atom